The following is a DFT calculation (PBE-GGA) of an optimized crystal structure of ZrSi2Ni.

Values from the calculation:
DFT total energy in eV/atom: -6.76
Symmetry: No. 26
Calculated density in g/cm³: 5.72

Cell lengths 3.8792, 3.8843, 7.9466 Å; angles 90.00, 90.00, 90.00 degrees
Positions (direct):
Zr 0.0000 0.0050 0.0000
Zr 0.0000 0.9950 0.5000
Si 0.0000 0.4987 0.2454
Si 0.0000 0.5013 0.7454
Si 0.5000 0.0148 0.7449
Si 0.5000 0.9852 0.2449
Ni 0.5000 0.4875 0.4194
Ni 0.5000 0.5125 0.9194

---

The following is a DFT calculation (PBE-GGA) of an optimized crystal structure of Zr2Si2Ni.

Values from the calculation:
DFT total energy in eV/atom: -6.42
Symmetry: No. 139
Calculated density in g/cm³: 4.83

Cell lengths 6.2011, 6.2011, 6.2011 Å; angles 138.88, 138.88, 59.56 degrees
Positions (direct):
Zr 0.2500 0.7500 0.5000
Zr 0.7500 0.2500 0.5000
Si 0.1040 0.1040 0.0000
Si 0.8960 0.8960 0.0000
Ni 0.5000 0.5000 0.0000

---

The following is a DFT calculation (PBE-GGA) of an optimized crystal structure of ZrSi2Ni.

Values from the calculation:
DFT total energy in eV/atom: -6.30
Symmetry: No. 216
Calculated density in g/cm³: 5.58

Cell lengths 4.4256, 4.4256, 4.4256 Å; angles 60.00, 60.00, 60.00 degrees
Positions (direct):
Zr 0.0000 0.0000 0.0000
Si 0.2500 0.2500 0.2500
Si 0.5000 0.5000 0.5000
Ni 0.7500 0.7500 0.7500

---

The following is a DFT calculation (PBE-GGA) of an optimized crystal structure of Zr4Si4Ni.

Values from the calculation:
DFT total energy in eV/atom: -7.75
Symmetry: No. 12
Calculated density in g/cm³: 5.87

Cell lengths 5.2794, 5.2794, 8.6537 Å; angles 107.57, 107.57, 41.60 degrees
Positions (direct):
Zr 0.1094 0.1094 0.3799
Zr 0.2437 0.2437 0.8444
Zr 0.7563 0.7563 0.1556
Zr 0.8906 0.8906 0.6201
Si 0.3889 0.3889 0.3851
Si 0.4664 0.4664 0.1428
Si 0.5336 0.5336 0.8572
Si 0.6111 0.6111 0.6149
Ni 0.0000 0.0000 0.0000

---

Question: Which value of calculated density does entry 2 give?
Answer: 4.83 g/cm³